TcNiAu: optimized geometry, PBE.

It has space group C2/m (No. 12), with a = 8.6534 Å, b = 3.7148 Å, c = 5.7100 Å, α = 90.00°, β = 107.92° and γ = 90.00°. The distinct sites, in fractional coordinates, are Tc at (0.1676, 0.0000, 0.0666), Ni at (0.0034, 0.5000, 0.7797) and Au at (0.1632, 0.0000, 0.5825).

For the total magnetization, the calculation gives 0.000 μB/atom. The value obtained for the formation energy is 0.18 eV per atom.